Here is crystalline KCrTe at its relaxed geometry from Alexandria. Energies are from PBE-GGA.

a b c (Å): 4.2893 4.2893 10.8492
angles (deg): 90.00 90.00 90.00
Last column: magnetic moment on the atom in μB.
Element x y z (fractional)
Cr: 0.0000 0.0000 0.5000  2.74
Cr: 0.5000 0.5000 0.5000  2.74
K: 0.0000 0.5000 0.8146  0.00
K: 0.5000 0.0000 0.1854  0.00
Te: 0.0000 0.5000 0.3521  -0.07
Te: 0.5000 0.0000 0.6479  -0.07

symmetry = No. 129
E above lowest polymorph = 68 meV/atom


Here is crystalline K2CrTe at its relaxed geometry from Alexandria. Energies are from PBE-GGA.

a b c (Å): 4.0219 4.0219 10.0960
angles (deg): 90.00 90.00 89.99
Last column: magnetic moment on the atom in μB.
Element x y z (fractional)
Cr: 0.5000 0.5000 0.6470  3.99
K: 0.0000 0.0000 0.9407  0.01
K: 0.5000 0.5000 0.3183  0.01
Te: 0.0000 0.0000 0.5940  -0.07

symmetry = No. 99
E = -3.732 eV/atom


Here is crystalline K2CrTe at its relaxed geometry from Alexandria. Energies are from PBE-GGA.

a b c (Å): 5.4182 5.4182 4.8531
angles (deg): 89.97 89.97 106.71
Last column: magnetic moment on the atom in μB.
Element x y z (fractional)
Cr: 0.0000 0.5000 0.5000  4.24
K: 0.0000 0.0000 0.0000  0.02
K: 0.5000 0.5000 0.0000  0.02
Te: 0.5000 0.0000 0.5000  -0.01

symmetry = No. 65
E = -3.658 eV/atom